8
Lattice="-4.9255 0.1667 -0.5430 0.4426 -1.8440 -4.5811 -2.6031 -5.5114 -0.7161" Properties=species:S:1:pos:R:3 comment="MnGeO2 PBE with a Hubbard U optimized geometry" energy_ev_per_atom=-6.58 pbc="T T T"
Ge -4.8850 -3.0917 -1.9106
Ge 0.0000 0.0000 0.0000
O -5.8836 -5.5646 -4.9299
O -3.6246 -4.7991 -2.5494
O -3.5762 -1.5075 -1.0803
O -1.0874 -2.5062 -3.1208
Mn -2.2009 -4.0970 -3.9296
Mn -2.2414 -0.8386 -2.5621